(1)
First-principles (SCAN) data for Mg2SiNi at its PBEsol-relaxed geometry, as listed in Alexandria via LeMat-Bulk.

Properties
V, Å³ per cell: 57.2
VASP energy, eV per atom: -9.076
Formation energy from raw total energies, meV per atom: -41.4

```
4
Lattice="4.326 0.000 0.000 2.163 3.746 0.000 2.163 1.249 3.532" Properties=species:S:1:pos:R:3 pbc="T T T"
Mg 6.489 3.746 2.649
Ni 4.326 2.498 1.766
Si 2.163 1.249 0.883
Mg 0.000 0.000 0.000
```

=====

(2)
First-principles (SCAN) data for RhI3 at its PBEsol-relaxed geometry, as listed in Alexandria via LeMat-Bulk.

Properties
V, Å³ per cell: 255.9
VASP energy, eV per atom: -36.327
Formation energy from raw total energies, meV per atom: -327.7

```
8
Lattice="-5.727 -3.296 -1.401 4.815 -3.007 3.660 -2.396 4.201 4.751" Properties=species:S:1:pos:R:3 pbc="T T T"
I -0.748 -0.383 1.581
I -0.213 1.680 5.133
Rh -3.971 -3.248 -0.558
I 0.638 -3.680 3.669
I -3.945 1.578 3.341
Rh 3.059 -3.055 2.817
I -3.095 -3.782 1.876
I -2.559 -1.719 5.429
```

=====

(3)
First-principles (SCAN) data for YCd2 at its PBEsol-relaxed geometry, as listed in Alexandria via LeMat-Bulk.

Properties
V, Å³ per cell: 90.8
Formation energy, eV/f.u.: 0.030
VASP energy, eV per atom: -29.547

```
3
Lattice="-3.354 -0.778 0.546 1.369 -3.431 3.522 -0.249 3.603 3.607" Properties=species:S:1:pos:R:3 pbc="T T T"
Cd -0.992 -2.105 2.034
Y 0.000 0.000 0.000
Cd -1.801 1.412 2.076
```

=====

(4)
First-principles (SCAN) data for BaMg2V6Cu8O26 at its PBEsol-relaxed geometry, as listed in Alexandria via LeMat-Bulk.

Properties
V, Å³ per cell: 520.9
VASP energy, eV per atom: -12.200
Formation energy from raw total energies, meV per atom: -2013.0

```
43
Lattice="5.950 0.000 0.000 0.000 8.267 -0.018 0.000 -1.541 10.594" Properties=species:S:1:pos:R:3 pbc="T T T"
V 2.975 3.315 7.488
V 2.975 6.216 3.942
O 1.470 6.779 3.149
O 2.975 6.740 5.575
O 4.480 6.779 3.149
O 0.000 4.457 4.457
Mg 2.975 0.289 9.131
O 4.449 -0.041 7.432
O 4.383 4.332 7.649
O 1.560 6.224 0.233
O 2.975 4.564 4.001
V 0.000 0.509 6.641
Cu 2.975 0.357 5.927
V 0.000 -0.488 10.560
O 1.332 0.510 10.284
Cu 4.450 0.461 2.854
O 0.000 0.040 5.003
O 0.000 2.183 6.722
V 0.000 3.421 3.040
O 0.000 4.436 1.710
O 2.975 0.071 1.183
O 2.975 2.281 8.798
O 0.000 6.589 9.367
Ba 0.000 2.835 9.617
V 2.975 7.132 0.013
O 1.501 -0.041 7.432
Mg 0.000 6.443 1.587
O 2.975 6.457 8.924
O 4.619 0.510 10.284
Cu 0.000 6.411 4.639
Cu 2.975 2.711 4.108
O 4.390 6.224 0.233
Cu 1.477 6.272 7.724
Cu 0.000 4.035 6.348
Cu 4.473 6.272 7.724
O 2.975 2.305 6.064
O 2.975 0.701 4.027
O 1.368 2.361 2.972
O 0.000 0.260 1.678
O 4.582 2.361 2.972
Cu 1.500 0.461 2.854
O 0.000 6.029 6.534
O 1.567 4.332 7.649
```

=====

(5)
First-principles (SCAN) data for Ca3TlP at its PBEsol-relaxed geometry, as listed in Alexandria via LeMat-Bulk.

Properties
Relative energy among the computed polymorphs, eV per formula unit: 0.59
V, Å³ per cell: 158.7
Formation energy, eV/f.u.: -3.805
VASP energy, eV per atom: -23.110

```
5
Lattice="-4.343 2.743 1.711 -3.230 -3.801 -2.104 0.135 -2.709 4.685" Properties=species:S:1:pos:R:3 pbc="T T T"
Ca -1.547 -3.255 1.291
Tl 0.000 0.000 0.000
Ca -2.104 0.017 3.198
Ca -3.786 -0.529 -0.196
P -3.719 -1.884 2.146
```

=====

(6)
First-principles (SCAN) data for SrTaAg at its PBEsol-relaxed geometry, as listed in Alexandria via LeMat-Bulk.

Properties
V, Å³ per cell: 80.9
Formation energy, eV/f.u.: 3.681
VASP energy, eV per atom: -38.848

```
3
Lattice="-3.232 -2.377 2.735 0.265 -4.829 0.426 1.380 -1.994 4.206" Properties=species:S:1:pos:R:3 pbc="T T T"
Ta -0.794 -4.600 3.684
Ag -0.397 -2.300 1.842
Sr 0.000 0.000 0.000
```